A plane-wave DFT calculation with PBE was carried out for an optimized crystal structure of TbPuGaCu.

The space group is F-43m (No. 216) and the conventional cell measures 7.0845, 7.0845 and 7.0845 Å, with angles of 90.00, 90.00 and 90.00 degrees. The distinct sites, in fractional coordinates, are Tb at (0.0000, 0.0000, 0.0000), Pu at (0.0000, 0.0000, 0.5000), Ga at (0.2500, 0.2500, 0.7500) and Cu at (0.2500, 0.2500, 0.2500).

The calculation puts the density at 10.02 g cm⁻³. The value obtained for the total moment is 23.173 Bohr magnetons per cell. The electronic total energy comes out at -6.7316 eV/atom. As for the formation energy: -210 meV per atom.



A plane-wave DFT calculation with PBE was carried out for an optimized crystal structure of AsPtO2.

The space group is I-42d (No. 122) and the conventional cell measures 5.1421, 5.1421 and 9.1750 Å, with angles of 90.00, 90.00 and 90.00 degrees. The distinct sites, in fractional coordinates, are As at (0.0000, 0.0000, 0.0000), Pt at (0.0000, 0.0000, 0.5000) and O at (0.2038, 0.2500, 0.1250).

The calculation puts the energy relative to the elements, uncorrected at 0.12 eV per atom. The calculation puts the density at 8.27 g cm⁻³. The value obtained for the total moment is 3.673 Bohr magnetons per cell. The electronic total energy comes out at -5.0315 eV/atom.



A plane-wave DFT calculation with PBE was carried out for an optimized crystal structure of SrPPb4.

The space group is F-43m (No. 216) and the conventional cell measures 9.1158, 9.1158 and 9.1158 Å, with angles of 90.00, 90.00 and 90.00 degrees. The distinct sites, in fractional coordinates, are Sr at (0.0000, 0.0000, 0.0000), P at (0.2500, 0.2500, 0.7500) and Pb at (0.1246, 0.1246, 0.3754).

The calculation puts the density at 8.31 g cm⁻³. The value obtained for the total moment is 0.001 Bohr magnetons per cell. The electronic total energy comes out at -3.5017 eV/atom. As for the formation energy: 152 meV per atom.



A plane-wave DFT calculation with PBE was carried out for an optimized crystal structure of Ho2Al3Ag.

The space group is P6_3/mmc (No. 194) and the conventional cell measures 5.6122, 5.6122 and 8.8814 Å, with angles of 90.00, 90.00 and 120.00 degrees. The distinct sites, in fractional coordinates, are Ho at (0.3333, 0.6667, 0.0713), Al at (0.1710, 0.3420, 0.7500) and Ag at (0.0000, 0.0000, 0.0000).

The calculation puts the density at 7.11 g cm⁻³. The value obtained for the total moment is 0.000 Bohr magnetons per cell. The energy above the most stable polymorph in this dataset comes out at 0 meV per atom. The electronic total energy comes out at -4.3351 eV/atom. As for the formation energy: -463 meV per atom.



A plane-wave DFT calculation with PBE was carried out for an optimized crystal structure of RbGaAuF2.

The space group is P4/mmm (No. 123) and the conventional cell measures 4.7622, 4.7622 and 5.9707 Å, with angles of 90.00, 90.00 and 90.00 degrees. The distinct sites, in fractional coordinates, are Rb at (0.0000, 0.0000, 0.0000), Ga at (0.5000, 0.5000, 0.0000), Au at (0.0000, 0.0000, 0.5000) and F at (0.0000, 0.5000, 0.5000).

The calculation puts the energy relative to the elements, uncorrected at -0.43 eV per atom. The calculation puts the density at 4.78 g cm⁻³. The value obtained for the total moment is 0.000 Bohr magnetons per cell. The electronic total energy comes out at -2.6363 eV/atom.



A plane-wave DFT calculation with PBE was carried out for an optimized crystal structure of LaTe4Se.

The space group is F-43m (No. 216) and the conventional cell measures 8.9051, 8.9051 and 8.9051 Å, with angles of 90.00, 90.00 and 90.00 degrees. The distinct sites, in fractional coordinates, are La at (0.0000, 0.0000, 0.0000), Te at (0.1249, 0.1249, 0.3751) and Se at (0.2500, 0.2500, 0.7500).

The calculation puts the energy relative to the elements, uncorrected at -0.24 eV per atom. The calculation puts the density at 6.85 g cm⁻³. The value obtained for the total moment is 0.059 Bohr magnetons per cell. The electronic total energy comes out at -3.7412 eV/atom.



A plane-wave DFT calculation with PBE was carried out for an optimized crystal structure of Cs2AcPaS4.

The space group is P2/m (No. 10) and the conventional cell measures 7.4822, 4.2611 and 8.4983 Å, with angles of 90.00, 106.72 and 90.00 degrees. The distinct sites, in fractional coordinates, are Cs at (0.0000, 0.0000, 0.0000), Cs at (0.5000, 0.5000, 0.0000), Ac at (0.0000, 0.5000, 0.5000), Pa at (0.5000, 0.0000, 0.5000), S at (0.2526, 0.0000, 0.6914) and S at (0.2902, 0.5000, 0.3158).

The calculation puts the energy relative to the elements, uncorrected at -1.61 eV per atom. The calculation puts the density at 5.45 g cm⁻³. The value obtained for the total moment is 1.863 Bohr magnetons per cell. The electronic total energy comes out at -5.5883 eV/atom.



A plane-wave DFT calculation with PBE was carried out for an optimized crystal structure of Sc6Ga16Os7.

The space group is Fm-3m (No. 225) and the conventional cell measures 12.4501, 12.4501 and 12.4501 Å, with angles of 90.00, 90.00 and 90.00 degrees. The distinct sites, in fractional coordinates, are Sc at (0.0000, 0.0000, 0.2258), Ga at (0.1240, 0.1240, 0.3760), Ga at (0.1539, 0.1539, 0.1539), Os at (0.0000, 0.0000, 0.5000) and Os at (0.0000, 0.2500, 0.2500).

The calculation puts the density at 9.35 g cm⁻³. The value obtained for the total moment is 0.000 Bohr magnetons per cell. The electronic total energy comes out at -6.0831 eV/atom. As for the formation energy: -392 meV per atom.



A plane-wave DFT calculation with PBE was carried out for an optimized crystal structure of SrBi3O.

The space group is Pm-3m (No. 221) and the conventional cell measures 6.1312, 6.1312 and 6.1312 Å, with angles of 90.00, 90.00 and 90.00 degrees. The distinct sites, in fractional coordinates, are Sr at (0.0000, 0.0000, 0.0000), Bi at (0.0000, 0.0000, 0.5000) and O at (0.5000, 0.5000, 0.5000).

The calculation puts the energy relative to the elements, uncorrected at 1.26 eV per atom. The calculation puts the density at 5.26 g cm⁻³. The value obtained for the total moment is 0.000 Bohr magnetons per cell. The energy above the most stable polymorph in this dataset comes out at 1804 meV per atom. The electronic total energy comes out at -2.3970 eV/atom.



A plane-wave DFT calculation with PBE was carried out for an optimized crystal structure of AuI2.

The space group is P1 (No. 1) and the conventional cell measures 5.1468, 6.8791 and 7.2088 Å, with angles of 73.08, 87.34 and 80.34 degrees. The distinct sites, in fractional coordinates, are Au at (0.0000, 0.0000, 0.0000), Au at (0.1474, 0.6453, 0.5789), I at (0.3391, 0.2606, 0.7960), I at (0.4874, 0.5636, 0.3055), I at (0.8212, 0.7190, 0.8711) and I at (0.9698, 0.0333, 0.3651).

The calculation puts the energy relative to the elements, uncorrected at 0.00 eV per atom. The calculation puts the density at 6.22 g cm⁻³. The value obtained for the total moment is 0.000 Bohr magnetons per cell. The electronic total energy comes out at -2.1305 eV/atom.



A plane-wave DFT calculation with PBE was carried out for an optimized crystal structure of NbV2ZnC.

The space group is P4/mmm (No. 123) and the conventional cell measures 4.8313, 4.8313 and 4.0852 Å, with angles of 90.00, 90.00 and 90.00 degrees. The distinct sites, in fractional coordinates, are Nb at (0.0000, 0.0000, 0.0000), V at (0.0000, 0.5000, 0.0000), Zn at (0.5000, 0.5000, 0.5000) and C at (0.0000, 0.0000, 0.5000).

The calculation puts the density at 4.74 g cm⁻³. The value obtained for the total moment is 3.588 Bohr magnetons per cell. The electronic total energy comes out at -6.0836 eV/atom. As for the formation energy: 1677 meV per atom.



A plane-wave DFT calculation with PBE was carried out for an optimized crystal structure of NdGa4Ru2Pt.

The space group is R-3m (No. 166, hexagonal axes) and the conventional cell measures 4.2874, 4.2874 and 26.3057 Å, with angles of 90.00, 90.00 and 120.00 degrees. The distinct sites, in fractional coordinates, are Nd at (0.0000, 0.0000, 0.0000), Ga at (0.0000, 0.0000, 0.1285), Ga at (0.0000, 0.0000, 0.4005), Ru at (0.0000, 0.0000, 0.2311) and Pt at (0.0000, 0.0000, 0.5000).

The calculation puts the density at 9.76 g cm⁻³. The value obtained for the total moment is 0.000 Bohr magnetons per cell. The electronic total energy comes out at -5.6646 eV/atom. As for the formation energy: -481 meV per atom.



A plane-wave DFT calculation with PBE was carried out for an optimized crystal structure of LaErTmTh.

The space group is R3m (No. 160, hexagonal axes) and the conventional cell measures 3.5891, 3.5891 and 34.8067 Å, with angles of 90.00, 90.00 and 120.00 degrees. The distinct sites, in fractional coordinates, are La at (0.0000, 0.0000, 0.0000), Er at (0.0000, 0.0000, 0.2466), Tm at (0.0000, 0.0000, 0.4206) and Th at (0.0000, 0.0000, 0.8336).

The calculation puts the density at 9.07 g cm⁻³. The value obtained for the total moment is 0.000 Bohr magnetons per cell. The energy above the most stable polymorph in this dataset comes out at 0 meV per atom. The electronic total energy comes out at -5.3222 eV/atom. As for the formation energy: 23 meV per atom.



A plane-wave DFT calculation with PBE was carried out for an optimized crystal structure of CsPa2TcO8.

The space group is C2/m (No. 12) and the conventional cell measures 9.1507, 6.6819 and 7.7919 Å, with angles of 90.00, 103.89 and 90.00 degrees. The distinct sites, in fractional coordinates, are Cs at (0.0000, 0.0000, 0.0000), Pa at (0.0675, 0.5000, 0.2347), Tc at (0.0000, 0.0000, 0.5000), O at (0.0303, 0.2160, 0.3368), O at (0.1331, 0.5000, 0.9794) and O at (0.2136, 0.0000, 0.6130).

The calculation puts the energy relative to the elements, uncorrected at -2.50 eV per atom. The calculation puts the density at 5.90 g cm⁻³. The value obtained for the total moment is 4.000 Bohr magnetons per cell. The electronic total energy comes out at -8.3267 eV/atom.



A plane-wave DFT calculation with PBE was carried out for an optimized crystal structure of Li2SbBr.

The space group is P4mm (No. 99) and the conventional cell measures 3.4316, 3.4316 and 8.0487 Å, with angles of 90.00, 90.00 and 90.00 degrees. The distinct sites, in fractional coordinates, are Li at (0.0000, 0.0000, 0.0000), Li at (0.5000, 0.5000, 0.4209), Sb at (0.0000, 0.0000, 0.6397) and Br at (0.5000, 0.5000, 0.1112).

The calculation puts the energy relative to the elements, uncorrected at -0.84 eV per atom. The calculation puts the density at 3.78 g cm⁻³. The value obtained for the total moment is 0.000 Bohr magnetons per cell. The energy above the most stable polymorph in this dataset comes out at 30 meV per atom. The electronic total energy comes out at -3.2477 eV/atom.